[1]
A plane-wave DFT calculation with PBE-GGA was carried out for a relaxed InAgPbF6 crystal.

It has space group P4_2nm (No. 102), with a = 5.423 Å, b = 5.423 Å, c = 11.059 Å, α = 90.00°, β = 90.00° and γ = 90.00°. The distinct sites, in fractional coordinates, are In at (0.000, 0.000, 0.000), Ag at (0.000, 0.000, 0.664), Pb at (0.000, 0.000, 0.336), F at (0.182, 0.182, 0.145), F at (0.184, 0.184, 0.857) and F at (0.224, 0.224, 0.494).

The value obtained for the formation energy without anion corrections is -2147 meV/atom.

[2]
A plane-wave DFT calculation with PBE-GGA was carried out for a relaxed NdNi3 crystal.

It has space group C2/m (No. 12), with a = 7.071 Å, b = 4.085 Å, c = 5.241 Å, α = 90.00°, β = 116.86° and γ = 90.00°. The distinct sites, in fractional coordinates, are Nd at (0.000, 0.000, 0.000), Ni at (0.000, 0.500, 0.500) and Ni at (0.195, 0.000, 0.585).

For the formation energy, the calculation gives -0.26 eV per atom.

[3]
A plane-wave DFT calculation with PBE-GGA was carried out for a relaxed InReGe2 crystal.

It has space group I-42d (No. 122), with a = 6.024 Å, b = 6.024 Å, c = 11.764 Å, α = 90.00°, β = 90.00° and γ = 90.00°. The distinct sites, in fractional coordinates, are In at (0.000, 0.000, 0.000), Re at (0.000, 0.000, 0.500) and Ge at (0.189, 0.250, 0.625).

For the formation energy, the calculation gives 0.71 eV per atom.

| no. | DOS at the Fermi energy (states/eV per atom) |
| --- | --- |
| 1 | 0.00 |
| 2 | 1.19 |
| 3 | 0.85 |